No. 1
La2InW2, relaxed, DFT PBE; formation enthalpy at 0 K = 26.0 kcal/mol of atoms; calculated volume = 137 Å³/f.u.; symmetry = I4/mmm, No. 139; offset from the most stable computed form = 0.7776 eV/atom; size of the total moment = 0.000 μB per atom; VASP energy = -6.57 eV per atom
1.0
-2.382 2.382 6.028
2.382 -2.382 6.028
2.382 2.382 -6.028
La In W
2 1 2
Direct
0.250 0.750 0.500
0.750 0.250 0.500
0.000 0.000 0.000
0.406 0.406 0.000
0.594 0.594 0.000



No. 2
LaInW, relaxed, DFT PBE; formation enthalpy at 0 K = 10.7 kcal/mol of atoms; calculated volume = 68 Å³/f.u.; symmetry = I4mm, No. 107; offset from the most stable computed form = 0.0000 eV/atom; size of the total moment = 0.000 μB per atom; VASP energy = -6.41 eV per atom
1.0
-1.505 1.505 7.543
1.505 -1.505 7.543
1.505 1.505 -7.543
La In W
1 1 1
Direct
0.000 0.000 0.000
0.689 0.689 0.000
0.331 0.331 0.000



No. 3
LaZnIn2W, relaxed, DFT PBE; formation enthalpy at 0 K = 6.4 kcal/mol of atoms; calculated volume = 135 Å³/f.u.; symmetry = P4/mmm, No. 123; size of the total moment = 0.000 μB per atom; VASP energy = -4.65 eV per atom
1.0
5.217 0.000 0.000
0.000 5.217 0.000
0.000 0.000 4.970
La Zn In W
1 1 2 1
Direct
0.000 0.000 0.000
0.500 0.500 0.000
0.000 0.500 0.500
0.500 0.000 0.500
0.500 0.500 0.500